# PBE+U SrVCrO6, relaxed
# M_tot: 1.0 Bohr magnetons per cell
# E_tot: -0.2610 hartree per atom
data_SrVCrO6
_space_group_name_H-M_alt 'P 1'
_space_group_IT_number 1
_cell_length_a 5.000
_cell_length_b 5.028
_cell_length_c 5.406
_cell_angle_alpha 91.10
_cell_angle_beta 91.37
_cell_angle_gamma 118.10
loop_
_space_group_symop_operation_xyz
'x,y,z'
loop_
_atom_site_label
_atom_site_type_symbol
_atom_site_fract_x
_atom_site_fract_y
_atom_site_fract_z
_atom_site_occupancy
Sr1 Sr 0.000 0.000 0.000 1
V1 V 0.347 0.685 0.457 1
Cr1 Cr 0.669 0.333 0.543 1
O1 O 0.004 0.632 0.309 1
O2 O 0.387 0.018 0.699 1
O3 O 0.396 0.393 0.300 1
O4 O 0.596 0.616 0.708 1
O5 O 0.620 0.007 0.305 1
O6 O 0.996 0.394 0.698 1